An optimized crystal structure of Zr4Zn2Tc, computed with PBE.

energy of formation from the pure elements: -2.24 kcal/mol of atoms
VASP energy: -6.826 eV per atom

Cell and atoms, written as CIF:
```
data_Zr4Zn2Tc
_chemical_formula_sum 'Zr4 Zn2 Tc1'
_space_group_name_H-M_alt 'P 1'
_space_group_IT_number 1
_space_group_name_Hall 'P 1'
_cell_length_a 5.697
_cell_length_b 5.697
_cell_length_c 5.697
_cell_angle_alpha 106.94
_cell_angle_beta 110.75
_cell_angle_gamma 110.75
loop_
_atom_site_label
_atom_site_fract_x
_atom_site_fract_y
_atom_site_fract_z
_atom_site_occupancy
Zr1 0.500 0.000 0.000 1
Zr2 0.500 0.500 0.500 1
Zr3 0.000 0.000 0.500 1
Zr4 0.000 0.500 0.000 1
Zn1 0.500 0.500 0.000 1
Zn2 0.500 0.000 0.500 1
Tc1 0.000 0.000 0.000 1
```